1.
The following is a PBE-GGA calculation of a relaxed structure of Tb4Dy4In, from the Alexandria database.

For the energy of formation, the calculation gives -65 kJ/mol of formula units. Its crystal system is tetragonal.

The space group is I4/mmm (No. 139) and the conventional cell measures 10.5932, 10.5932 and 4.9016 Å, with angles of 90.00, 90.00 and 90.00 degrees. The inequivalent atoms are Tb at (0.1616, 0.1616, 0.0000), Dy at (0.0000, 0.3346, 0.5000) and In at (0.0000, 0.0000, 0.5000).

---

2.
The following is a PBE-GGA calculation of a relaxed structure of LiCrCl2, from the Alexandria database.

As for the uncorrected formation energy: -0.798 eV per atom. The energy above the lowest structure with this stoichiometry is 233 meV/atom. Its crystal system is orthorhombic.

The space group is Imm2 (No. 44) and the conventional cell measures 3.5927, 3.5966 and 14.6434 Å, with angles of 90.00, 90.00 and 90.00 degrees. The inequivalent atoms are Li at (0.0000, 0.0000, 0.0000), Cr at (0.0000, 0.5000, 0.2499), Cl at (0.0000, 0.0000, 0.4994) and Cl at (0.0000, 0.5000, 0.7491).

---

3.
The following is a PBE-GGA calculation of a relaxed structure of ZrAsRu, from the Alexandria database.

For the energy of formation, the calculation gives -197 kJ/mol of formula units. Its crystal system is hexagonal.

The space group is P-6m2 (No. 187) and the conventional cell measures 4.3117, 4.3117 and 3.1753 Å, with angles of 90.00, 90.00 and 120.00 degrees. The inequivalent atoms are Zr at (0.0000, 0.0000, 0.0000), As at (0.6667, 0.3333, 0.5000) and Ru at (0.3333, 0.6667, 0.5000).

---

4.
The following is a PBE-GGA calculation of a relaxed structure of KYIr2, from the Alexandria database.

For the energy of formation, the calculation gives 72 kJ/mol of formula units. The energy above the lowest structure with this stoichiometry is 127 meV/atom. Its crystal system is tetragonal.

The space group is P4mm (No. 99) and the conventional cell measures 3.5030, 3.5030 and 9.0169 Å, with angles of 90.00, 90.00 and 90.00 degrees. The inequivalent atoms are K at (0.0000, 0.0000, 0.0000), Y at (0.5000, 0.5000, 0.4200), Ir at (0.0000, 0.0000, 0.6206) and Ir at (0.5000, 0.5000, 0.7092).

---

Repeat the first record exactly.
The following is a PBE-GGA calculation of a relaxed structure of Tb4Dy4In, from the Alexandria database.

For the energy of formation, the calculation gives -65 kJ/mol of formula units. Its crystal system is tetragonal.

The space group is I4/mmm (No. 139) and the conventional cell measures 10.5932, 10.5932 and 4.9016 Å, with angles of 90.00, 90.00 and 90.00 degrees. The inequivalent atoms are Tb at (0.1616, 0.1616, 0.0000), Dy at (0.0000, 0.3346, 0.5000) and In at (0.0000, 0.0000, 0.5000).